Record 1
Here is crystalline Bi2HPbAu at its relaxed geometry from the Alexandria database. Energies are from PBE.

Computed properties:
DFT total energy = -3.54 eV/atom
Density of states at the Fermi level = 0.91 states/eV/cell
Total magnetization = 0.000 μB/atom

Cell lengths 5.9486, 5.9486, 3.4962 Å; angles 90.00, 90.00, 90.00 degrees
Space group P4/mmm (No. 123)
Inequivalent atoms, fractional coordinates:
Bi  0.0000  0.5000  0.0000 [2 per cell]
H  0.0000  0.0000  0.5000 [1 per cell]
Pb  0.5000  0.5000  0.5000 [1 per cell]
Au  0.0000  0.0000  0.0000 [1 per cell]

Record 2
Here is crystalline BiHPd2Au at its relaxed geometry from the Alexandria database. Energies are from PBE.

Computed properties:
DFT total energy = -4.15 eV/atom
Density of states at the Fermi level = 1.58 states/eV/cell
Total magnetization = 0.000 μB/atom

Cell lengths 4.1196, 4.1196, 4.7219 Å; angles 90.00, 90.00, 90.00 degrees
Space group P4/mmm (No. 123)
Inequivalent atoms, fractional coordinates:
Bi  0.0000  0.0000  0.0000 [1 per cell]
H  0.0000  0.0000  0.5000 [1 per cell]
Pd  0.0000  0.5000  0.5000 [2 per cell]
Au  0.5000  0.5000  0.0000 [1 per cell]

Record 3
Here is crystalline BiHPd2Au at its relaxed geometry from the Alexandria database. Energies are from PBE.

Computed properties:
DFT total energy = -4.22 eV/atom
Density of states at the Fermi level = 1.59 states/eV/cell
Total magnetization = 0.000 μB/atom

Cell lengths 4.4291, 4.4291, 3.9999 Å; angles 90.00, 90.00, 90.00 degrees
Space group P4/mmm (No. 123)
Inequivalent atoms, fractional coordinates:
Bi  0.0000  0.0000  0.0000 [1 per cell]
H  0.5000  0.5000  0.5000 [1 per cell]
Pd  0.0000  0.5000  0.5000 [2 per cell]
Au  0.5000  0.5000  0.0000 [1 per cell]

Record 4
Here is crystalline Bi4H3Pd12Au at its relaxed geometry from the Alexandria database. Energies are from PBE.

Computed properties:
DFT total energy = -4.65 eV/atom
Density of states at the Fermi level = 26.49 states/eV/cell
Total magnetization = 0.000 μB/atom

Cell lengths 8.7012, 8.7012, 8.7012 Å; angles 90.00, 90.00, 90.00 degrees
Space group Im-3m (No. 229)
Inequivalent atoms, fractional coordinates:
Bi  0.2500  0.2500  0.2500 [8 per cell]
H  0.0000  0.0000  0.5000 [6 per cell]
Pd  0.0000  0.0000  0.2977 [12 per cell]
Pd  0.0000  0.2500  0.5000 [12 per cell]
Au  0.0000  0.0000  0.0000 [2 per cell]

Record 5
Here is crystalline BiHRhAu2 at its relaxed geometry from the Alexandria database. Energies are from PBE.

Computed properties:
DFT total energy = -4.05 eV/atom
Density of states at the Fermi level = 1.97 states/eV/cell
Total magnetization = 0.000 μB/atom

Cell lengths 4.8298, 4.8298, 3.5374 Å; angles 90.00, 90.00, 90.00 degrees
Space group P4/mmm (No. 123)
Inequivalent atoms, fractional coordinates:
Bi  0.0000  0.0000  0.0000 [1 per cell]
H  0.5000  0.5000  0.5000 [1 per cell]
Rh  0.5000  0.5000  0.0000 [1 per cell]
Au  0.0000  0.5000  0.5000 [2 per cell]

Record 6
Here is crystalline Bi2HRhAu at its relaxed geometry from the Alexandria database. Energies are from PBE.

Computed properties:
DFT total energy = -4.29 eV/atom
Density of states at the Fermi level = 2.95 states/eV/cell
Total magnetization = 0.000 μB/atom

Cell lengths 5.4381, 5.4381, 3.4055 Å; angles 90.00, 90.00, 90.00 degrees
Space group P4/mmm (No. 123)
Inequivalent atoms, fractional coordinates:
Bi  0.0000  0.5000  0.0000 [2 per cell]
H  0.0000  0.0000  0.5000 [1 per cell]
Rh  0.0000  0.0000  0.0000 [1 per cell]
Au  0.5000  0.5000  0.5000 [1 per cell]